[1]
Tl2CuIr: relaxed, PBE.

Total magnetic moment ... 0.00 μB per formula unit
Crystal system ... tetragonal
Energy relative to the lowest polymorph listed for this composition ... 25.5 meV/atom
DFT formation energy ... 0.362 eV/atom

Unit cell a=3.276 b=3.276 c=7.714 alpha=90.00 beta=90.00 gamma=90.00
Space group P4mm (No. 99)
Unique sites:
Tl (0.000, 0.000, 0.000) [1 per cell]
Tl (0.500, 0.500, 0.361) [1 per cell]
Cu (0.000, 0.000, 0.609) [1 per cell]
Ir (0.500, 0.500, 0.756) [1 per cell]



[2]
CsZr2IrRh: relaxed, PBE.

Total magnetic moment ... 0.24 μB per formula unit
Crystal system ... tetragonal
Energy relative to the lowest polymorph listed for this composition ... 106.7 meV/atom
DFT formation energy ... 2.343 eV/atom

Unit cell a=5.155 b=5.155 c=4.846 alpha=90.00 beta=90.00 gamma=90.00
Space group P4/mmm (No. 123)
Unique sites:
Cs (0.000, 0.000, 0.000) [1 per cell]
Zr (0.000, 0.500, 0.000) [2 per cell]
Ir (0.000, 0.000, 0.500) [1 per cell]
Rh (0.500, 0.500, 0.500) [1 per cell]



[3]
Zr2CdHg: relaxed, PBE.

Total magnetic moment ... 1.56 μB per formula unit
Crystal system ... trigonal
Energy relative to the lowest polymorph listed for this composition ... 467.7 meV/atom
DFT formation energy ... 0.320 eV/atom

Unit cell a=4.8162 b=4.8162 c=15.1416 alpha=90.00 beta=90.00 gamma=120.00
Space group R3m (No. 160, hexagonal axes)
Unique sites:
Zr (0.0000, 0.0000, 0.0000) [3 per cell]
Zr (0.0000, 0.0000, 0.2043) [3 per cell]
Cd (0.0000, 0.0000, 0.4193) [3 per cell]
Hg (0.0000, 0.0000, 0.6147) [3 per cell]



[4]
KInIr: relaxed, PBE.

Total magnetic moment ... 0.00 μB per formula unit
Crystal system ... tetragonal
Energy relative to the lowest polymorph listed for this composition ... 93.2 meV/atom
DFT formation energy ... 0.237 eV/atom

Unit cell a=3.689 b=3.689 c=12.260 alpha=90.00 beta=90.00 gamma=90.00
Space group I4mm (No. 107)
Unique sites:
K (0.000, 0.000, 0.000) [2 per cell]
In (0.000, 0.000, 0.733) [2 per cell]
Ir (0.000, 0.000, 0.275) [2 per cell]



[5]
AgSbPb3: relaxed, PBE.

Total magnetic moment ... 0.00 μB per formula unit
Crystal system ... cubic
Energy relative to the lowest polymorph listed for this composition ... 267.3 meV/atom

Unit cell a=5.497 b=5.497 c=5.497 alpha=90.00 beta=90.00 gamma=90.00
Space group Pm-3m (No. 221)
Unique sites:
Ag (0.000, 0.000, 0.000) [1 per cell]
Sb (0.500, 0.500, 0.500) [1 per cell]
Pb (0.000, 0.000, 0.500) [3 per cell]



[6]
TbTm2Au3: relaxed, PBE.

Total magnetic moment ... 0.00 μB per formula unit
Crystal system ... tetragonal
DFT formation energy ... -0.882 eV/atom

Unit cell a=3.551 b=3.551 c=10.840 alpha=90.00 beta=90.00 gamma=90.00
Space group P4/mmm (No. 123)
Unique sites:
Tb (0.000, 0.000, 0.000) [1 per cell]
Tm (0.000, 0.000, 0.335) [2 per cell]
Au (0.500, 0.500, 0.174) [2 per cell]
Au (0.500, 0.500, 0.500) [1 per cell]